[1]
DFT (PBE-GGA) results for a relaxed BeP crystal.

```
BeP
1.0
-4.459 4.459 1.764
4.459 -4.459 1.764
4.459 4.459 -1.764
Be P
4 4
Direct
0.092 0.269 0.361
0.269 0.908 0.177
0.731 0.092 0.823
0.908 0.731 0.639
0.141 0.689 0.831
0.311 0.141 0.452
0.689 0.859 0.548
0.859 0.311 0.169
```

- ΔE_f: 172.4 meV/atom
- Total moment: 0.000 μB/cell
- Space group: I4/m (87)
- Excess energy over the best structure of this formula in the dataset: 9.51 kcal/mol of atoms



[2]
DFT (PBE-GGA) results for a relaxed BeP2 crystal.

```
BeP2
1.0
-1.258 1.258 6.673
1.258 -1.258 6.673
1.258 1.258 -6.673
Be P
1 2
Direct
0.000 0.000 0.000
0.373 0.373 0.000
0.627 0.627 0.000
```

- ΔE_f: 407.1 meV/atom
- Total moment: 0.000 μB/cell
- Space group: I4/mmm (139)
- Excess energy over the best structure of this formula in the dataset: 16.90 kcal/mol of atoms



[3]
DFT (PBE-GGA) results for a relaxed BeP crystal.

```
BeP
1.0
9.560 0.000 0.000
0.000 9.560 0.000
0.000 0.000 3.538
Be P
8 8
Direct
0.072 0.597 0.000
0.265 0.370 0.500
0.370 0.735 0.500
0.403 0.072 0.000
0.597 0.928 0.000
0.630 0.265 0.500
0.735 0.630 0.500
0.928 0.403 0.000
0.147 0.372 0.000
0.194 0.601 0.500
0.372 0.853 0.000
0.399 0.194 0.500
0.601 0.806 0.500
0.628 0.147 0.000
0.806 0.399 0.500
0.853 0.628 0.000
```

- ΔE_f: 103.0 meV/atom
- Total moment: 0.000 μB/cell
- Space group: P4/m (83)
- Excess energy over the best structure of this formula in the dataset: 7.91 kcal/mol of atoms



[4]
DFT (PBE-GGA) results for a relaxed BeP2 crystal.

```
BeP2
1.0
0.000 2.756 2.756
2.756 0.000 2.756
2.756 2.756 0.000
Be P
1 2
Direct
0.000 0.000 0.000
0.250 0.250 0.250
0.750 0.750 0.750
```

- ΔE_f: 363.4 meV/atom
- Total moment: 0.000 μB/cell
- Space group: Fm-3m (225)
- Excess energy over the best structure of this formula in the dataset: 15.90 kcal/mol of atoms



[5]
DFT (PBE-GGA) results for a relaxed Be5P crystal.

```
Be5P
1.0
2.387 0.000 0.000
0.000 2.387 0.000
0.000 0.000 9.715
Be P
5 1
Direct
0.000 0.000 0.000
0.000 0.000 0.293
0.000 0.000 0.707
0.500 0.500 0.148
0.500 0.500 0.852
0.500 0.500 0.500
```

- ΔE_f: 253.0 meV/atom
- Total moment: 0.000 μB/cell
- Space group: P4/mmm (123)
- Excess energy over the best structure of this formula in the dataset: 0.15 kcal/mol of atoms



[6]
DFT (PBE-GGA) results for a relaxed BeP2 crystal.

```
BeP2
1.0
-1.597 2.045 7.455
1.597 -2.045 7.455
1.597 2.045 -7.455
Be P
2 4
Direct
0.445 0.195 0.250
0.555 0.805 0.750
0.119 0.869 0.250
0.221 0.471 0.750
0.779 0.529 0.250
0.881 0.131 0.750
```

- ΔE_f: 237.0 meV/atom
- Total moment: 0.000 μB/cell
- Space group: Imma (74)
- Excess energy over the best structure of this formula in the dataset: 12.98 kcal/mol of atoms



[7]
DFT (PBE-GGA) results for a relaxed BeP2 crystal.

```
BeP2
1.0
-1.515 1.515 5.325
1.515 -1.515 5.325
1.515 1.515 -5.325
Be P
1 2
Direct
0.000 0.000 0.000
0.399 0.399 0.000
0.601 0.601 0.000
```

- ΔE_f: 318.2 meV/atom
- Total moment: 0.000 μB/cell
- Space group: I4/mmm (139)
- Excess energy over the best structure of this formula in the dataset: 14.85 kcal/mol of atoms



[8]
DFT (PBE-GGA) results for a relaxed BeP crystal.

```
BeP
1.0
3.439 0.000 0.000
0.000 8.987 0.000
0.000 0.000 6.135
Be P
6 6
Direct
0.250 0.100 0.195
0.250 0.400 0.195
0.250 0.750 0.347
0.750 0.250 0.653
0.750 0.600 0.805
0.750 0.900 0.805
0.250 0.250 0.456
0.250 0.624 0.033
0.250 0.876 0.033
0.750 0.124 0.967
0.750 0.376 0.967
0.750 0.750 0.544
```

- ΔE_f: 8.2 meV/atom
- Total moment: 0.000 μB/cell
- Space group: Pmmn (59)
- Excess energy over the best structure of this formula in the dataset: 5.72 kcal/mol of atoms